# 1
Entry from the Alexandria database: crystalline Cs3AcSm2Se6 at its relaxed geometry (GGA-PBE).

Cell: 7.7054 13.3448 8.7985 Å, 90.00 107.00 90.00°
With the nearest neighbours (Å) after each atom.
Space group C2/m (No. 12)
Asymmetric unit:
Cs: 0.0000 0.0000 0.0000 [2 per cell]  6 Se 3.59-3.69
Cs: 0.0000 0.3354 0.0000 [4 per cell]  6 Se 3.59-3.69
Ac: 0.0000 0.5000 0.5000 [2 per cell]  6 Se 3.12
Sm: 0.0000 0.1668 0.5000 [4 per cell]  6 Se 2.98-2.99
Se: 0.2163 0.0000 0.6903 [4 per cell]  2 Sm 2.98, 1 Ac 3.12
Se: 0.2374 0.3264 0.6912 [8 per cell]  2 Sm 2.99, 1 Ac 3.12

## Properties
The uncorrected formation energy comes out at -1.7503 eV/atom. The density comes out at 5.37 Mg/m³.

***

# 2
Entry from the Alexandria database: crystalline Cd4Sb6O19 at its relaxed geometry (GGA-PBE).

Cell: 9.2904 9.2904 9.2904 Å, 90.00 90.00 90.00°
With the nearest neighbours (Å) after each atom.
Space group I23 (No. 197)
Asymmetric unit:
Cd: 0.1401 0.1401 0.8599 [8 per cell]  4 O 2.25-2.42
Sb: 0.0000 0.3336 0.5000 [12 per cell]  6 O 1.99-2.02
O: 0.0000 0.0000 0.0000 [2 per cell]  4 Cd 2.25
O: 0.0000 0.0000 0.3592 [12 per cell]  2 Sb 2.02
O: 0.0220 0.3225 0.7158 [24 per cell]  2 Sb 1.99-2.02

## Properties
The uncorrected formation energy comes out at -1.2920 eV/atom. The density comes out at 6.15 Mg/m³.

***

# 3
Entry from the Alexandria database: crystalline Y2Ho4Er5 at its relaxed geometry (GGA-PBE).

Cell: 23.6434 3.5032 8.5067 Å, 90.00 94.65 90.00°
With the nearest neighbours (Å) after each atom.
Space group C2/m (No. 12)
Asymmetric unit:
Y: 0.2241 0.0000 0.3273 [4 per cell]  1 Ho 3.33, 6 Er 3.47-3.55, 4 Y 3.50-3.55
Ho: 0.0391 0.5000 0.8424 [4 per cell]  7 Ho 3.38-3.56, 4 Er 3.43-3.54
Ho: 0.0878 0.0000 0.1913 [4 per cell]  1 Y 3.33, 6 Ho 3.47-3.56, 5 Er 3.48-3.56
Er: 0.0000 0.0000 0.5000 [2 per cell]  6 Ho 3.46-3.48, 6 Er 3.50-3.52
Er: 0.1293 0.5000 0.5457 [4 per cell]  3 Ho 3.43-3.56, 3 Y 3.50-3.55, 5 Er 3.50-3.76
Er: 0.1850 0.5000 0.9725 [4 per cell]  3 Y 3.47-3.55, 5 Er 3.50-3.76, 3 Ho 3.54

## Properties
The relative energy among the computed polymorphs comes out at 7.76 kJ per mole of atoms. The density comes out at 7.92 Mg/m³. The formation energy comes out at 109.5 kJ/mol of formula units.

***

# 4
Entry from the Alexandria database: crystalline Si2PPd6 at its relaxed geometry (GGA-PBE).

Cell: 5.6409 6.3258 8.9184 Å, 90.00 121.42 90.00°
With the nearest neighbours (Å) after each atom.
Space group P2_1/c (No. 14)
Asymmetric unit:
Si: 0.1926 0.1200 0.2470 [4 per cell]  7 Pd 2.42-2.63
P: 0.0000 0.0000 0.5000 [2 per cell]  6 Pd 2.30-2.44
Pd: 0.1219 0.1542 0.9393 [4 per cell]  3 Si 2.42-2.57, 1 P 2.44
Pd: 0.2949 0.6951 0.9317 [4 per cell]  1 P 2.39, 2 Si 2.46-2.63
Pd: 0.4193 0.0383 0.7593 [4 per cell]  1 P 2.30, 2 Si 2.43-2.48

## Properties
The uncorrected formation energy comes out at -0.4620 eV/atom. The density comes out at 8.87 Mg/m³.

***

# 5
Entry from the Alexandria database: crystalline TiVGa2 at its relaxed geometry (GGA-PBE).

Cell: 3.3268 3.3268 5.4458 Å, 90.00 90.00 90.00°
With the nearest neighbours (Å) after each atom.
Space group P4/mmm (No. 123)
Asymmetric unit:
Ti: 0.0000 0.0000 0.0000 [1 per cell]  2 V 2.72, 8 Ga 2.75
V: 0.0000 0.0000 0.5000 [1 per cell]  8 Ga 2.69, 2 Ti 2.72
Ga: 0.5000 0.5000 0.2611 [2 per cell]  2 Ga 2.60-2.84, 4 V 2.69, 4 Ti 2.75

## Properties
The relative energy among the computed polymorphs comes out at 12.63 kJ per mole of atoms. The density comes out at 6.56 Mg/m³. The formation energy comes out at -78.3 kJ/mol of formula units.

***

# 6
Entry from the Alexandria database: crystalline VTe2H at its relaxed geometry (GGA-PBE).

Cell: 3.3244 3.3244 25.7670 Å, 90.00 90.00 120.00°
With the nearest neighbours (Å) after each atom.
Space group R-3m (No. 166, hexagonal axes)
Asymmetric unit:
V: 0.0000 0.0000 0.0000 [3 per cell]  2 Te 2.66
Te: 0.0000 0.0000 0.1032 [6 per cell]  3 H 2.52, 1 V 2.66
H: 0.0000 0.0000 0.5000 [3 per cell]  6 Te 2.52

## Properties
The relative energy among the computed polymorphs comes out at 107.74 kJ per mole of atoms. The density comes out at 6.20 Mg/m³.

***

# 7
Entry from the Alexandria database: crystalline CsK2GeMo at its relaxed geometry (GGA-PBE).

Cell: 6.8537 6.8537 5.8403 Å, 90.00 90.00 90.00°
With the nearest neighbours (Å) after each atom.
Space group P4/mmm (No. 123)
Asymmetric unit:
Cs: 0.0000 0.0000 0.0000 [1 per cell]  2 Ge 2.92
K: 0.0000 0.5000 0.0000 [2 per cell]  2 Cs 3.43
Ge: 0.0000 0.0000 0.5000 [1 per cell]  2 Cs 2.92
Mo: 0.5000 0.5000 0.5000 [1 per cell]  8 K 4.50, 4 Ge 4.85

## Properties
The density comes out at 2.30 Mg/m³. The formation energy comes out at 783.6 kJ/mol of formula units.

***

# 8
Entry from the Alexandria database: crystalline Ba4Na3Mg at its relaxed geometry (GGA-PBE).

Cell: 4.5193 4.5193 19.1677 Å, 90.00 90.00 90.00°
With the nearest neighbours (Å) after each atom.
Space group P4/mmm (No. 123)
Asymmetric unit:
Ba: 0.0000 0.0000 0.1080 [2 per cell]  4 Mg 3.81, 4 Na 4.06, 1 Ba 4.14
Ba: 0.0000 0.0000 0.3704 [2 per cell]  8 Na 4.05-4.07, 4 Ba 4.52
Na: 0.5000 0.5000 0.2387 [2 per cell]  8 Ba 4.06-4.07, 4 Na 4.52
Na: 0.5000 0.5000 0.5000 [1 per cell]  8 Ba 4.05, 4 Na 4.52
Mg: 0.5000 0.5000 0.0000 [1 per cell]  8 Ba 3.81

## Properties
The density comes out at 2.73 Mg/m³. The formation energy comes out at -6.3 kJ/mol of formula units.

***

# 9
Entry from the Alexandria database: crystalline CePm2Rh3 at its relaxed geometry (GGA-PBE).

Cell: 12.8725 5.8167 7.7723 Å, 90.00 106.48 90.00°
With the nearest neighbours (Å) after each atom.
Space group C2/c (No. 15)
Asymmetric unit:
Ce: 0.0000 0.0628 0.2500 [4 per cell]  5 Rh 2.60-2.85
Pm: 0.1693 0.4636 0.0739 [8 per cell]  6 Rh 2.84-3.04
Rh: 0.0000 0.4194 0.7500 [4 per cell]  2 Ce 2.80-3.01, 4 Pm 2.84-2.96
Rh: 0.1499 0.0435 0.5992 [8 per cell]  2 Ce 2.60-2.85, 1 Pm 2.89

## Properties
The relative energy among the computed polymorphs comes out at 8.60 kJ per mole of atoms. The density comes out at 8.79 Mg/m³. The formation energy comes out at -357.1 kJ/mol of formula units.

***

# 10
Entry from the Alexandria database: crystalline NbZn3Rh at its relaxed geometry (GGA-PBE).

Cell: 4.8596 4.8596 4.8596 Å, 90.00 90.00 90.00°
With the nearest neighbours (Å) after each atom.
Space group Pm-3m (No. 221)
Asymmetric unit:
Nb: 0.0000 0.0000 0.0000 [1 per cell]  6 Zn 2.43
Zn: 0.0000 0.0000 0.5000 [3 per cell]  2 Nb 2.43
Rh: 0.5000 0.5000 0.5000 [1 per cell]  12 Zn 3.44

## Properties
The density comes out at 5.67 Mg/m³. The formation energy comes out at 701.5 kJ/mol of formula units.

***

# 11
Entry from the Alexandria database: crystalline Cr2IrW at its relaxed geometry (GGA-PBE).

Cell: 8.9380 2.6826 4.6475 Å, 90.00 99.12 90.00°
With the nearest neighbours (Å) after each atom.
Space group Cm (No. 8)
Asymmetric unit:
Cr: 0.0000 0.0000 0.0000 [2 per cell]  4 Ir 2.57-2.80, 3 W 2.64-2.80, 5 Cr 2.64-2.68
Cr: 0.2491 0.5000 0.2325 [2 per cell]  3 Ir 2.62-2.73, 5 Cr 2.64-2.68, 4 W 2.67-2.70
Ir: 0.4888 0.0000 0.4688 [2 per cell]  7 Cr 2.57-2.80, 2 Ir 2.68, 3 W 2.71-2.73
W: 0.2396 0.0000 0.7340 [2 per cell]  7 Cr 2.64-2.80, 2 W 2.68, 3 Ir 2.71-2.73

## Properties
The density comes out at 14.49 Mg/m³. The formation energy comes out at 39.0 kJ/mol of formula units.

***

# 12
Entry from the Alexandria database: crystalline Sr2HgBr at its relaxed geometry (GGA-PBE).

Cell: 4.4855 6.9267 9.5949 Å, 90.00 90.00 90.00°
With the nearest neighbours (Å) after each atom.
Space group Immm (No. 71)
Asymmetric unit:
Sr: 0.0000 0.0000 0.2313 [4 per cell]  2 Br 3.16, 2 Hg 3.42
Hg: 0.0000 0.5000 0.0000 [2 per cell]  4 Sr 3.42
Br: 0.0000 0.5000 0.5000 [2 per cell]  4 Sr 3.16

## Properties
The uncorrected formation energy comes out at -0.8025 eV/atom. The relative energy among the computed polymorphs comes out at 18.86 kJ per mole of atoms. The density comes out at 5.08 Mg/m³.

***

In order of appearance, total energy = -116.0, -320.1, -105.8, -103.1, -23.9, -46.1, -10.4, -13.3, -164.8, -14.0, -81.3, -17.1 eV per cell.